Compound: KScSi
Source: the Alexandria database
Functional: GGA-PBE
Structure: optimized geometry

Computed properties:
E_form (uncorrected) ... 1.05 kcal/mol of atoms
E above lowest polymorph ... 328 meV/atom
Raw total energy ... -4.238 eV/atom

Geometry as CIF:
```
data_KScSi
_space_group_name_H-M_alt 'P 63/m m c'
_space_group_IT_number 194
_space_group_name_Hall '-P 6c 2c'
_cell_length_a 5.2146
_cell_length_b 5.2146
_cell_length_c 5.9479
_cell_angle_alpha 90.00
_cell_angle_beta 90.00
_cell_angle_gamma 120.00
loop_
_atom_site_label
_atom_site_type_symbol
_atom_site_fract_x
_atom_site_fract_y
_atom_site_fract_z
K1 K 0.0000 0.0000 0.0000
Sc1 Sc 0.3333 0.6667 0.2500
Si1 Si 0.3333 0.6667 0.7500
```

***

Compound: K2ScSi
Source: the Alexandria database
Functional: GGA-PBE
Structure: optimized geometry

Computed properties:
E_form (uncorrected) ... 8.89 kcal/mol of atoms
Raw total energy ... -3.102 eV/atom

Geometry as CIF:
```
data_K2ScSi
_space_group_name_H-M_alt 'P 4/m m m'
_space_group_IT_number 123
_space_group_name_Hall '-P 4 2'
_cell_length_a 4.351
_cell_length_b 4.351
_cell_length_c 5.940
_cell_angle_alpha 90.00
_cell_angle_beta 90.00
_cell_angle_gamma 90.00
loop_
_atom_site_label
_atom_site_type_symbol
_atom_site_fract_x
_atom_site_fract_y
_atom_site_fract_z
K1 K 0.000 0.500 0.000
Sc1 Sc 0.000 0.000 0.500
Si1 Si 0.500 0.500 0.500
```

***

Compound: KScSi
Source: the Alexandria database
Functional: GGA-PBE
Structure: optimized geometry

Computed properties:
E_form (uncorrected) ... 2.87 kcal/mol of atoms
E above lowest polymorph ... 407 meV/atom
Raw total energy ... -4.159 eV/atom

Geometry as CIF:
```
data_KScSi
_space_group_name_H-M_alt 'I m m a'
_space_group_IT_number 74
_space_group_name_Hall '-I 2b 2'
_cell_length_a 6.111
_cell_length_b 6.351
_cell_length_c 7.901
_cell_angle_alpha 90.00
_cell_angle_beta 90.00
_cell_angle_gamma 90.00
loop_
_atom_site_label
_atom_site_type_symbol
_atom_site_fract_x
_atom_site_fract_y
_atom_site_fract_z
K1 K 0.000 0.250 0.138
Sc1 Sc 0.250 0.250 0.750
Si1 Si 0.000 0.000 0.500
```